1.
Compound: KMgAs2
Source: the Alexandria database
Functional: PBE-GGA
Structure: optimized geometry

Lattice parameters (Å, degrees): 5.334 5.334 5.334 127.83 127.85 76.88
Fractional positions:
As (0.000, 0.000, 0.000)
As (0.500, 0.500, 0.000)
K (0.750, 0.250, 0.500)
Mg (0.250, 0.750, 0.500)

## Properties
crystal system	tetragonal
total moment	0.00	μB/f.u.
ΔH_f (0 K)	-0.07	eV per atom
space group	No. 139
mass density	3.9	g/cm3
VASP energy	-3.0628	eV per atom
Fermi-level density of states	0.3346	states/eV/atom


2.
Compound: LaTbSc2Se4
Source: the Alexandria database
Functional: PBE-GGA
Structure: optimized geometry

Lattice parameters (Å, degrees): 3.987 7.094 6.974 71.19 90.00 90.00
Fractional positions:
La (0.500, 0.500, 0.000)
Tb (0.000, 0.500, 0.500)
Sc (0.000, 0.000, 0.000)
Sc (0.500, 0.000, 0.500)
Se (0.000, 0.778, 0.733)
Se (0.000, 0.222, 0.267)
Se (0.500, 0.772, 0.250)
Se (0.500, 0.228, 0.750)

## Properties
crystal system	monoclinic
total moment	0.00	μB/f.u.
space group	No. 10
mass density	6.3	g/cm3
VASP energy	-6.2393	eV per atom
Fermi-level density of states	0.6448	states/eV/atom
formation energy (no corrections)	-1.7194	eV per atom


3.
Compound: Rb3La3PtO8
Source: the Alexandria database
Functional: PBE-GGA
Structure: optimized geometry

Lattice parameters (Å, degrees): 7.220 7.220 7.794 117.59 90.00 120.00
Fractional positions:
Rb (0.000, 0.000, 0.000)
Rb (0.000, 0.500, 0.000)
Rb (0.500, 0.500, 0.000)
La (0.500, 0.000, 0.500)
La (0.500, 0.500, 0.500)
La (0.000, 0.500, 0.500)
Pt (0.000, 0.000, 0.500)
O (0.274, 0.547, 0.321)
O (0.726, 0.453, 0.679)
O (0.797, 0.594, 0.334)
O (0.203, 0.406, 0.666)
O (0.797, 0.037, 0.334)
O (0.203, 0.963, 0.666)
O (0.240, 0.037, 0.334)
O (0.760, 0.963, 0.666)

## Properties
crystal system	trigonal
total moment	0.00	μB/f.u.
space group	No. 166
mass density	5.6	g/cm3
VASP energy	-6.4044	eV per atom
formation energy (no corrections)	-2.1783	eV per atom